1.
The following is a PBE-GGA calculation of Tb3PmPr4 after structural relaxation, from Alexandria.

Cell lengths 7.285, 7.282, 10.353 Å; angles 90.00, 90.00, 90.00 degrees
Atoms (fractional coordinates):
Pr 0.000 0.811 0.000
Pr 0.500 0.310 0.000
Pr 0.751 0.061 0.750
Pr 0.249 0.561 0.750
Pr 0.500 0.810 0.500
Pr 0.000 0.311 0.500
Pr 0.249 0.561 0.250
Pr 0.751 0.061 0.250
Tb 0.000 0.310 0.000
Tb 0.248 0.061 0.750
Tb 0.752 0.561 0.750
Tb 0.000 0.810 0.500
Tb 0.752 0.561 0.250
Tb 0.248 0.061 0.250
Pm 0.500 0.811 0.000
Pm 0.500 0.311 0.500

Size of the total moment ... 0.0 μB/f.u.
Distance to the lowest polymorph of the same formula ... 0.00 eV per formula unit
ΔH_f (0 K) ... 0.02 eV per atom
Space group ... Pmn2_1, No. 31
Crystal system ... orthorhombic

***

2.
The following is a PBE-GGA calculation of K3Sm2ThTe6 after structural relaxation, from Alexandria.

Cell lengths 7.854, 7.854, 8.725 Å; angles 98.62, 98.62, 120.00 degrees
Atoms (fractional coordinates):
K 0.168 0.832 0.500
K 0.832 0.168 0.500
K 0.500 0.500 0.500
Sm 0.334 0.666 0.000
Sm 0.666 0.334 0.000
Th 0.000 0.000 0.000
Te 0.928 0.596 0.784
Te 0.740 0.740 0.216
Te 0.072 0.404 0.216
Te 0.596 0.928 0.784
Te 0.260 0.260 0.784
Te 0.404 0.072 0.216

Size of the total moment ... 0.0 μB/f.u.
Formation energy (no corrections) ... -1334 meV/atom
Space group ... C2/m, No. 12
Crystal system ... monoclinic

***

3.
The following is a PBE-GGA calculation of Cd2HgI after structural relaxation, from Alexandria.

Cell lengths 8.343, 8.343, 6.879 Å; angles 52.67, 52.67, 90.00 degrees
Atoms (fractional coordinates):
I 0.500 0.500 0.000
I 0.250 0.750 0.500
Hg 0.000 0.000 0.000
Hg 0.750 0.250 0.500
Cd 0.650 0.125 0.250
Cd 0.100 0.625 0.250
Cd 0.375 0.350 0.750
Cd 0.875 0.900 0.750

Size of the total moment ... 0.0 μB/f.u.
Distance to the lowest polymorph of the same formula ... 0.11 eV per formula unit
Formation energy (no corrections) ... -69 meV/atom
Space group ... I-42d, No. 122
Crystal system ... tetragonal

***

4.
The following is a PBE-GGA calculation of SrRe3Sn after structural relaxation, from Alexandria.

Cell lengths 4.882, 4.882, 4.882 Å; angles 90.00, 90.00, 90.00 degrees
Atoms (fractional coordinates):
Re 0.000 0.500 0.000
Re 0.000 0.000 0.500
Re 0.500 0.000 0.000
Sn 0.500 0.500 0.500
Sr 0.000 0.000 0.000

Size of the total moment ... 3.3 μB/f.u.
Distance to the lowest polymorph of the same formula ... 6.58 eV per formula unit
ΔH_f (0 K) ... 3.51 eV per atom
Space group ... Pm-3m, No. 221
Crystal system ... cubic

***

What did the fourth record say?
The following is a PBE-GGA calculation of SrRe3Sn after structural relaxation, from Alexandria.

Cell lengths 4.882, 4.882, 4.882 Å; angles 90.00, 90.00, 90.00 degrees
Atoms (fractional coordinates):
Re 0.000 0.500 0.000
Re 0.000 0.000 0.500
Re 0.500 0.000 0.000
Sn 0.500 0.500 0.500
Sr 0.000 0.000 0.000

Size of the total moment ... 3.3 μB/f.u.
Distance to the lowest polymorph of the same formula ... 6.58 eV per formula unit
ΔH_f (0 K) ... 3.51 eV per atom
Space group ... Pm-3m, No. 221
Crystal system ... cubic